[1]
# NdHo2Cd3

Crystalline NdHo2Cd3 at its relaxed geometry (GGA-PBE, Alexandria via LeMat-Bulk).

Cell and atoms, written as extended XYZ:
```
6
Lattice="-3.4834 0.5946 -1.2834 -1.3887 -2.0861 2.8026 -0.8143 9.2996 6.5185" Properties=species:S:1:pos:R:3 pbc="T T T"
Nd -2.8432 3.9041 4.0188
Ho -3.1180 7.0428 6.2189
Ho -2.5684 0.7654 1.8188
Cd 0.0000 0.0000 0.0000
Cd -0.5533 6.3195 4.4295
Cd -0.2609 2.9802 2.0889
```



[2]
# NdHo3Cd

Crystalline NdHo3Cd at its relaxed geometry (GGA-PBE, Alexandria via LeMat-Bulk).

For the relative energy among the computed polymorphs, the calculation gives 0.0 kJ/mol of formula units.

Cell and atoms, written as extended XYZ:
```
10
Lattice="-2.0119 -2.2648 -2.0932 -1.0880 -5.5077 3.7636 -10.5354 4.6703 5.0809" Properties=species:S:1:pos:R:3 pbc="T T T"
Nd -8.9820 0.0559 5.3369
Nd -4.6533 -3.1581 1.4144
Ho -5.7933 -2.1360 4.6433
Ho -1.2646 -2.1975 0.3568
Ho -3.0680 -4.3180 4.3795
Ho -7.8420 -0.9663 2.1080
Ho -10.5673 1.2158 2.3718
Ho -12.3707 -0.9048 6.3945
Cd -8.6843 -3.2571 5.3972
Cd -4.9510 0.1549 1.3541
```



no.,energy (Ha/atom),magnetization (μB/f.u.),theoretical density (g/cm³)
1,-0.1136,0.7,8.371
2,-0.1466,0.0,8.290